# KReHg (GGA-PBE, relaxed)
# ρ	6.59	g/cm3
# D(E_F)	14.4	states/eV per cell
# formation enthalpy at 0 K	2.1096	eV/atom
# magnetic moment	1.359	μB/atom
data_KReHg
_chemical_formula_sum 'K4 Re4 Hg4'
_symmetry_space_group_name_H-M 'F -4 3 m'
_symmetry_Int_Tables_number 216
_symmetry_space_group_name_Hall 'F -4 2 3'
_cell_length_a 7.544
_cell_length_b 7.544
_cell_length_c 7.544
_cell_angle_alpha 90.00
_cell_angle_beta 90.00
_cell_angle_gamma 90.00
loop_
_atom_site_label
_atom_site_fract_x
_atom_site_fract_y
_atom_site_fract_z
K1 0.000 0.000 0.000
Re1 0.250 0.250 0.750
Hg1 0.250 0.250 0.250